GGA-PBEsol ZrPRu, optimized geometry; electronic total energy = -9.533 eV/atom; size of the total moment = 0.00 μB/f.u.; space-group type = No. 189; energy of formation = -3.5 eV per formula unit
1.0
-1.8527 -3.2146 0.6624
3.7907 -1.1481 5.0312
-5.4369 3.2929 0.7732
P Ru Zr
3 3 3
Cartesian
-0.9264 -1.6073 0.3312
-2.3610 1.8126 2.1925
0.7149 0.3322 3.6119
-1.3269 0.8036 0.1887
-1.2444 1.6214 4.3878
0.9251 -0.2802 1.2278
1.2881 -2.2780 3.2703
-4.1025 0.3163 0.7829
-1.6109 -0.7154 2.7448